## HoPu2ScBi4 (PBE)

Data for an optimized crystal structure of HoPu2ScBi4.

abc: 4.4535 7.7233 7.7055
angles: 109.46 90.00 90.00
Each line ends with the local moment (μB).
Fractional coordinates of all 8 atoms:
Bi 0.5000 0.2537 0.2416  -0.10
Ho 0.0000 0.0000 0.0000  -0.10
Pu 0.0000 0.5000 0.5000  5.26
Bi 0.0000 0.2606 0.7628  -0.11
Sc 0.5000 0.5000 0.0000  -0.08
Pu 0.5000 0.0000 0.5000  5.32
Bi 0.0000 0.7394 0.2372  -0.11
Bi 0.5000 0.7463 0.7584  -0.10

Computed properties:
For the total energy, the calculation gives -7.418 eV per atom. The space group is P2/m. The formation energy comes out at -0.5304 eV per atom. Its crystal system is monoclinic.